The following is a DFT calculation (PBE) of an optimized crystal structure of Pm3TlHg.

Cell: 6.7930 6.7930 16.1198 Å, 76.51 76.51 61.24°
Closest atoms and distances in Å follow each position.
Fractional coordinates of all 20 atoms:
Pm (0.2598, 0.1140, 0.1858)  2 Hg 3.13-3.18, 3 Tl 3.27-3.47, 1 Pm 3.44
Pm (0.2481, 0.7862, 0.9417)  2 Hg 3.11-3.16, 2 Tl 3.32-3.37
Pm (0.8437, 0.6308, 0.1109)  2 Hg 3.03-3.18, 1 Tl 3.27
Pm (0.8860, 0.7402, 0.3142)  2 Hg 3.13-3.18, 3 Tl 3.27-3.47, 1 Pm 3.44
Pm (0.6308, 0.8437, 0.6109)  2 Hg 3.03-3.18, 1 Tl 3.27
Pm (0.1563, 0.3692, 0.8891)  2 Hg 3.03-3.18, 1 Tl 3.27
Pm (0.7862, 0.2481, 0.4417)  2 Hg 3.11-3.16, 2 Tl 3.32-3.37
Pm (0.7402, 0.8860, 0.8142)  2 Hg 3.13-3.18, 3 Tl 3.27-3.47, 1 Pm 3.44
Pm (0.1140, 0.2598, 0.6858)  2 Hg 3.13-3.18, 3 Tl 3.27-3.47, 1 Pm 3.44
Pm (0.7519, 0.2138, 0.0583)  2 Hg 3.11-3.16, 2 Tl 3.32-3.37
Pm (0.3692, 0.1563, 0.3891)  2 Hg 3.03-3.18, 1 Tl 3.27
Pm (0.2138, 0.7519, 0.5583)  2 Hg 3.11-3.16, 2 Tl 3.32-3.37
Tl (0.2982, 0.6187, 0.1528)  1 Hg 3.25, 6 Pm 3.27-3.47, 1 Tl 3.52
Tl (0.7018, 0.3813, 0.8472)  1 Hg 3.25, 6 Pm 3.27-3.47, 1 Tl 3.52
Tl (0.3813, 0.7018, 0.3472)  1 Hg 3.25, 6 Pm 3.27-3.47, 1 Tl 3.52
Tl (0.6187, 0.2982, 0.6528)  1 Hg 3.25, 6 Pm 3.27-3.47, 1 Tl 3.52
Hg (0.7337, 0.2663, 0.2500)  6 Pm 3.16-3.18, 2 Tl 3.25
Hg (0.0000, 0.5000, 0.5000)  6 Pm 3.03-3.13
Hg (0.5000, 0.0000, 0.0000)  6 Pm 3.03-3.13
Hg (0.2663, 0.7337, 0.7500)  6 Pm 3.16-3.18, 2 Tl 3.25

Results
Space-group type: C2/c (15)
Calculated formation energy: -0.195 eV per atom

The following is a DFT calculation (PBE) of an optimized crystal structure of Pm2Tl2Hg3.

Cell: 3.5669 4.6221 11.9202 Å, 101.18 90.00 90.00°
Closest atoms and distances in Å follow each position.
Fractional coordinates of all 7 atoms:
Tl (0.5000, 0.2900, 0.5799)  2 Tl 2.97, 4 Pm 3.30, 1 Hg 3.31
Tl (0.5000, 0.7100, 0.4201)  2 Tl 2.97, 4 Pm 3.30, 1 Hg 3.31
Pm (0.0000, 0.1442, 0.2883)  4 Tl 3.30, 5 Hg 3.37-3.42, 2 Pm 3.57
Pm (0.0000, 0.8558, 0.7117)  4 Tl 3.30, 5 Hg 3.37-3.42, 2 Pm 3.57
Hg (0.0000, 0.0000, 0.0000)  10 Hg 3.33-3.57, 2 Pm 3.37
Hg (0.5000, 0.5684, 0.1368)  7 Hg 3.20-3.57, 1 Tl 3.31, 4 Pm 3.42
Hg (0.5000, 0.4316, 0.8632)  7 Hg 3.20-3.57, 1 Tl 3.31, 4 Pm 3.42

Results
Space-group type: Cmmm (65)
Calculated formation energy: -0.222 eV per atom

The following is a DFT calculation (PBE) of an optimized crystal structure of PmTmTlHg.

Cell: 3.7706 3.7706 7.6216 Å, 90.00 90.00 90.00°
Closest atoms and distances in Å follow each position.
Fractional coordinates of all 4 atoms:
Tm (0.5000, 0.5000, 0.5944)  4 Hg 3.14, 4 Tl 3.27
Hg (0.0000, 0.0000, 0.3765)  4 Tm 3.14, 4 Pm 3.33
Tl (0.0000, 0.0000, 0.8432)  4 Tm 3.27, 4 Pm 3.37, 1 Hg 3.56
Pm (0.5000, 0.5000, 0.1139)  4 Hg 3.33, 4 Tl 3.37, 1 Tm 3.66

Results
Space-group type: P4mm (99)
Calculated formation energy: -0.414 eV per atom

The following is a DFT calculation (PBE) of an optimized crystal structure of PmTmTlHg.

Cell: 5.3573 5.3573 5.3573 Å, 60.00 60.00 60.00°
Closest atoms and distances in Å follow each position.
Fractional coordinates of all 4 atoms:
Tm (0.7500, 0.7500, 0.7500)  4 Hg 3.28, 4 Tl 3.28
Tl (0.0000, 0.0000, 0.0000)  4 Pm 3.28, 4 Tm 3.28
Pm (0.2500, 0.2500, 0.2500)  4 Tl 3.28, 4 Hg 3.28
Hg (0.5000, 0.5000, 0.5000)  4 Tm 3.28, 4 Pm 3.28

Results
Space-group type: F-43m (216)
Calculated formation energy: -0.402 eV per atom

The following is a DFT calculation (PBE) of an optimized crystal structure of PmYTlHg.

Cell: 5.3881 5.3881 5.3881 Å, 60.00 60.00 60.00°
Closest atoms and distances in Å follow each position.
Fractional coordinates of all 4 atoms:
Hg (0.0000, 0.0000, 0.0000)  4 Pm 3.30, 4 Y 3.30
Pm (0.2500, 0.2500, 0.2500)  4 Tl 3.30, 4 Hg 3.30
Y (0.7500, 0.7500, 0.7500)  4 Hg 3.30, 4 Tl 3.30
Tl (0.5000, 0.5000, 0.5000)  4 Y 3.30, 4 Pm 3.30

Results
Space-group type: F-43m (216)
Calculated formation energy: -0.439 eV per atom

The following is a DFT calculation (PBE) of an optimized crystal structure of Pm2YTl2Hg2.

Cell: 5.0123 5.0123 9.4693 Å, 74.65 74.65 60.00°
Closest atoms and distances in Å follow each position.
Fractional coordinates of all 7 atoms:
Y (0.0000, 0.0000, 0.0000)  6 Tl 3.28, 2 Pm 3.61
Tl (0.7240, 0.7240, 0.8281)  3 Hg 3.09, 3 Y 3.28
Tl (0.2760, 0.2760, 0.1719)  3 Hg 3.09, 3 Y 3.28
Hg (0.5695, 0.5695, 0.2914)  3 Pm 3.05, 3 Tl 3.09
Hg (0.4305, 0.4305, 0.7086)  3 Pm 3.05, 3 Tl 3.09
Pm (0.1333, 0.1333, 0.6001)  3 Hg 3.05, 3 Pm 3.41
Pm (0.8667, 0.8667, 0.3999)  3 Hg 3.05, 3 Pm 3.41

Results
Space-group type: R-3m (166)
Calculated formation energy: -0.198 eV per atom

- Among the records above, which one has the lowest calculated formation energy?
  PmYTlHg

- The highest calculated formation energy belongs to which entry?
  Pm3TlHg

Copy entry 3 word for word.
The following is a DFT calculation (PBE) of an optimized crystal structure of PmTmTlHg.

Cell: 3.7706 3.7706 7.6216 Å, 90.00 90.00 90.00°
Closest atoms and distances in Å follow each position.
Fractional coordinates of all 4 atoms:
Tm (0.5000, 0.5000, 0.5944)  4 Hg 3.14, 4 Tl 3.27
Hg (0.0000, 0.0000, 0.3765)  4 Tm 3.14, 4 Pm 3.33
Tl (0.0000, 0.0000, 0.8432)  4 Tm 3.27, 4 Pm 3.37, 1 Hg 3.56
Pm (0.5000, 0.5000, 0.1139)  4 Hg 3.33, 4 Tl 3.37, 1 Tm 3.66

Results
Space-group type: P4mm (99)
Calculated formation energy: -0.414 eV per atom

- Number 6 is which compound?
  Pm2YTl2Hg2